a | # ZnAuBr2 (SCAN, single point on PBEsol structure)
data_ZnAuBr2
_chemical_formula_sum 'Zn1 Au1 Br2'
_cell_length_a 3.7846
_cell_length_b 5.3661
_cell_length_c 5.3661
_cell_angle_alpha 76.18
_cell_angle_beta 69.35
_cell_angle_gamma 69.35
_space_group_name_H-M_alt 'P 1'
_space_group_IT_number 1
loop_
_space_group_symop_operation_xyz
'x,y,z'
loop_
_atom_site_label
_atom_site_type_symbol
_atom_site_fract_x
_atom_site_fract_y
_atom_site_fract_z
Br1 Br 0.7414 0.2586 0.2586
Au1 Au 0.5000 0.0000 0.0000
Zn1 Zn 0.0000 0.5000 0.5000
Br2 Br 0.2586 0.7414 0.7414
# Total moment = 0.00 μB per cell
# Space-group type = No. 71

---

b | # ZnAuBr2 (SCAN, single point on PBEsol structure)
data_ZnAuBr2
_chemical_formula_sum 'Zn1 Au1 Br2'
_cell_length_a 3.5575
_cell_length_b 5.0946
_cell_length_c 7.3330
_cell_angle_alpha 110.33
_cell_angle_beta 104.04
_cell_angle_gamma 90.00
_space_group_name_H-M_alt 'P 1'
_space_group_IT_number 1
loop_
_space_group_symop_operation_xyz
'x,y,z'
loop_
_atom_site_label
_atom_site_type_symbol
_atom_site_fract_x
_atom_site_fract_y
_atom_site_fract_z
Br1 Br 0.8416 0.3416 0.6832
Br2 Br 0.0860 0.0860 0.1719
Zn1 Zn 0.4679 0.4679 0.9359
Au1 Au 0.1045 0.6045 0.2090
# Total moment = 0.00 μB per cell
# Space-group type = No. 44

---

Which of them is the most stable, and which is the least stable? b and a, in that order.

---

a | # ZnAu2Br (SCAN, single point on PBEsol structure)
data_ZnAu2Br
_chemical_formula_sum 'Zn1 Au2 Br1'
_cell_length_a 3.3359
_cell_length_b 3.3359
_cell_length_c 6.7883
_cell_angle_alpha 90.00
_cell_angle_beta 90.00
_cell_angle_gamma 90.00
_space_group_name_H-M_alt 'P 1'
_space_group_IT_number 1
loop_
_space_group_symop_operation_xyz
'x,y,z'
loop_
_atom_site_label
_atom_site_type_symbol
_atom_site_fract_x
_atom_site_fract_y
_atom_site_fract_z
Br1 Br 0.0000 0.0000 0.5208
Zn1 Zn 0.5000 0.5000 0.7988
Au1 Au 0.0000 0.0000 0.9774
Au2 Au 0.5000 0.5000 0.2030
# Total moment = 0.00 μB per cell
# Space-group type = No. 99

---

b | # ZnAu2Br (SCAN, single point on PBEsol structure)
data_ZnAu2Br
_chemical_formula_sum 'Zn1 Au2 Br1'
_cell_length_a 3.2949
_cell_length_b 3.2949
_cell_length_c 6.8038
_cell_angle_alpha 90.00
_cell_angle_beta 90.00
_cell_angle_gamma 90.00
_space_group_name_H-M_alt 'P 1'
_space_group_IT_number 1
loop_
_space_group_symop_operation_xyz
'x,y,z'
loop_
_atom_site_label
_atom_site_type_symbol
_atom_site_fract_x
_atom_site_fract_y
_atom_site_fract_z
Au1 Au 0.0000 0.0000 0.2985
Br1 Br 0.5000 0.5000 0.0000
Au2 Au 0.0000 0.0000 0.7015
Zn1 Zn 0.5000 0.5000 0.5000
# Total moment = 0.00 μB per cell
# Space-group type = No. 123

---

Which of them is the most stable, and which is the least stable? a and b, in that order.

---

a | # ZrAuBr2 (SCAN, single point on PBEsol structure)
data_ZrAuBr2
_chemical_formula_sum 'Zr1 Au1 Br2'
_cell_length_a 4.5306
_cell_length_b 5.1837
_cell_length_c 4.5306
_cell_angle_alpha 64.09
_cell_angle_beta 90.00
_cell_angle_gamma 115.91
_space_group_name_H-M_alt 'P 1'
_space_group_IT_number 1
loop_
_space_group_symop_operation_xyz
'x,y,z'
loop_
_atom_site_label
_atom_site_type_symbol
_atom_site_fract_x
_atom_site_fract_y
_atom_site_fract_z
Zr1 Zr 0.5000 0.0000 0.5000
Br1 Br 0.0000 0.0000 0.0000
Au1 Au 0.7500 0.5000 0.7500
Br2 Br 0.2500 0.5000 0.2500
# Total moment = 0.95 μB per cell
# Space-group type = No. 119

---

b | # ZrAuBr2 (SCAN, single point on PBEsol structure)
data_ZrAuBr2
_chemical_formula_sum 'Zr1 Au1 Br2'
_cell_length_a 3.2029
_cell_length_b 4.8920
_cell_length_c 6.9727
_cell_angle_alpha 110.54
_cell_angle_beta 103.28
_cell_angle_gamma 90.00
_space_group_name_H-M_alt 'P 1'
_space_group_IT_number 1
loop_
_space_group_symop_operation_xyz
'x,y,z'
loop_
_atom_site_label
_atom_site_type_symbol
_atom_site_fract_x
_atom_site_fract_y
_atom_site_fract_z
Zr1 Zr 0.4948 0.4948 0.9895
Br1 Br 0.0100 0.0100 0.0200
Br2 Br 0.8205 0.3205 0.6410
Au1 Au 0.1747 0.6747 0.3495
# Total moment = 0.00 μB per cell
# Space-group type = No. 44

---

Which of them is the most stable, and which is the least stable? b and a, in that order.

---

a | # Au2C (SCAN, single point on PBEsol structure)
data_Au2C
_chemical_formula_sum 'Au4 C2'
_cell_length_a 3.7064
_cell_length_b 3.7064
_cell_length_c 7.4543
_cell_angle_alpha 90.00
_cell_angle_beta 90.00
_cell_angle_gamma 120.00
_space_group_name_H-M_alt 'P 1'
_space_group_IT_number 1
loop_
_space_group_symop_operation_xyz
'x,y,z'
loop_
_atom_site_label
_atom_site_type_symbol
_atom_site_fract_x
_atom_site_fract_y
_atom_site_fract_z
Au1 Au 0.6667 0.3333 0.7500
Au2 Au 0.0000 0.0000 0.5000
Au3 Au 0.3333 0.6667 0.2500
Au4 Au 0.0000 0.0000 0.0000
C1 C 0.3333 0.6667 0.7500
C2 C 0.6667 0.3333 0.2500
# Total moment = 0.00 μB per cell
# Space-group type = No. 194

---

b | # Au2C (SCAN, single point on PBEsol structure)
data_Au2C
_chemical_formula_sum 'Au4 C2'
_cell_length_a 3.0125
_cell_length_b 5.3744
_cell_length_c 5.9575
_cell_angle_alpha 85.18
_cell_angle_beta 75.35
_cell_angle_gamma 73.72
_space_group_name_H-M_alt 'P 1'
_space_group_IT_number 1
loop_
_space_group_symop_operation_xyz
'x,y,z'
loop_
_atom_site_label
_atom_site_type_symbol
_atom_site_fract_x
_atom_site_fract_y
_atom_site_fract_z
Au1 Au 0.7681 0.1780 0.2859
Au2 Au 0.0967 0.6293 0.1773
C1 C 0.5982 0.1447 0.6588
Au3 Au 0.9033 0.3707 0.8227
Au4 Au 0.2319 0.8220 0.7141
C2 C 0.4018 0.8553 0.3412
# Total moment = 0.00 μB per cell
# Space-group type = No. 12

---

Which of them is the most stable, and which is the least stable? b and a, in that order.

---

a | # AuC3 (SCAN, single point on PBEsol structure)
data_AuC3
_chemical_formula_sum 'Au1 C3'
_cell_length_a 2.5775
_cell_length_b 2.5775
_cell_length_c 7.7264
_cell_angle_alpha 90.00
_cell_angle_beta 90.00
_cell_angle_gamma 120.00
_space_group_name_H-M_alt 'P 1'
_space_group_IT_number 1
loop_
_space_group_symop_operation_xyz
'x,y,z'
loop_
_atom_site_label
_atom_site_type_symbol
_atom_site_fract_x
_atom_site_fract_y
_atom_site_fract_z
C1 C 0.3333 0.6667 0.6056
C2 C 0.3333 0.6667 0.3944
C3 C 0.0000 0.0000 0.5000
Au1 Au 0.0000 0.0000 0.0000
# Total moment = 0.00 μB per cell
# Space-group type = No. 187

---

b | # AuC3 (SCAN, single point on PBEsol structure)
data_AuC3
_chemical_formula_sum 'Au1 C3'
_cell_length_a 3.6734
_cell_length_b 3.8882
_cell_length_c 3.6734
_cell_angle_alpha 61.81
_cell_angle_beta 90.00
_cell_angle_gamma 118.19
_space_group_name_H-M_alt 'P 1'
_space_group_IT_number 1
loop_
_space_group_symop_operation_xyz
'x,y,z'
loop_
_atom_site_label
_atom_site_type_symbol
_atom_site_fract_x
_atom_site_fract_y
_atom_site_fract_z
Au1 Au 0.0000 0.0000 0.0000
C1 C 0.7500 0.5000 0.7500
C2 C 0.2500 0.5000 0.2500
C3 C 0.5000 0.0000 0.5000
# Total moment = 0.00 μB per cell
# Space-group type = No. 139

---

c | # AuC3 (SCAN, single point on PBEsol structure)
data_AuC3
_chemical_formula_sum 'Au2 C6'
_cell_length_a 4.3003
_cell_length_b 4.3003
_cell_length_c 4.3003
_cell_angle_alpha 90.00
_cell_angle_beta 90.00
_cell_angle_gamma 90.00
_space_group_name_H-M_alt 'P 1'
_space_group_IT_number 1
loop_
_space_group_symop_operation_xyz
'x,y,z'
loop_
_atom_site_label
_atom_site_type_symbol
_atom_site_fract_x
_atom_site_fract_y
_atom_site_fract_z
C1 C 0.0000 0.2500 0.5000
C2 C 0.2500 0.5000 0.0000
Au1 Au 0.5000 0.5000 0.5000
C3 C 0.7500 0.5000 0.0000
Au2 Au 0.0000 0.0000 0.0000
C4 C 0.5000 0.0000 0.2500
C5 C 0.0000 0.7500 0.5000
C6 C 0.5000 0.0000 0.7500
# Total moment = 0.00 μB per cell
# Space-group type = No. 223

---

Which of them is the most stable, and which is the least stable? a and b, in that order.

---

a | # AuC (SCAN, single point on PBEsol structure)
data_AuC
_chemical_formula_sum 'Au3 C3'
_cell_length_a 4.2958
_cell_length_b 4.2958
_cell_length_c 4.2958
_cell_angle_alpha 90.00
_cell_angle_beta 90.00
_cell_angle_gamma 90.00
_space_group_name_H-M_alt 'P 1'
_space_group_IT_number 1
loop_
_space_group_symop_operation_xyz
'x,y,z'
loop_
_atom_site_label
_atom_site_type_symbol
_atom_site_fract_x
_atom_site_fract_y
_atom_site_fract_z
C1 C 0.5000 0.0000 0.0000
C2 C 0.0000 0.0000 0.5000
Au1 Au 0.5000 0.0000 0.5000
Au2 Au 0.5000 0.5000 0.0000
Au3 Au 0.0000 0.5000 0.5000
C3 C 0.0000 0.5000 0.0000
# Total moment = 0.00 μB per cell
# Space-group type = No. 221

---

b | # AuC (SCAN, single point on PBEsol structure)
data_AuC
_chemical_formula_sum 'Au2 C2'
_cell_length_a 3.6029
_cell_length_b 3.6029
_cell_length_c 5.6329
_cell_angle_alpha 71.35
_cell_angle_beta 71.35
_cell_angle_gamma 60.00
_space_group_name_H-M_alt 'P 1'
_space_group_IT_number 1
loop_
_space_group_symop_operation_xyz
'x,y,z'
loop_
_atom_site_label
_atom_site_type_symbol
_atom_site_fract_x
_atom_site_fract_y
_atom_site_fract_z
C1 C 0.2661 0.2661 0.2018
Au1 Au 0.5889 0.5889 0.2333
Au2 Au 0.4111 0.4111 0.7667
C2 C 0.7339 0.7339 0.7982
# Total moment = 0.00 μB per cell
# Space-group type = No. 166

---

Which of them is the most stable, and which is the least stable? b and a, in that order.

---

a | # P2AuCCl (SCAN, single point on PBEsol structure)
data_P2AuCCl
_chemical_formula_sum 'P2 Au1 C1 Cl1'
_cell_length_a 4.7464
_cell_length_b 4.7464
_cell_length_c 4.8739
_cell_angle_alpha 90.00
_cell_angle_beta 90.00
_cell_angle_gamma 90.00
_space_group_name_H-M_alt 'P 1'
_space_group_IT_number 1
loop_
_space_group_symop_operation_xyz
'x,y,z'
loop_
_atom_site_label
_atom_site_type_symbol
_atom_site_fract_x
_atom_site_fract_y
_atom_site_fract_z
Cl1 Cl 0.0000 0.0000 0.5000
Au1 Au 0.0000 0.0000 0.0000
P1 P 0.0000 0.5000 0.0000
P2 P 0.5000 0.0000 0.0000
C1 C 0.5000 0.5000 0.5000
# Total moment = 0.51 μB per cell
# Space-group type = No. 123

---

b | # P2AuCCl (SCAN, single point on PBEsol structure)
data_P2AuCCl
_chemical_formula_sum 'P2 Au1 C1 Cl1'
_cell_length_a 4.1403
_cell_length_b 4.1403
_cell_length_c 4.1323
_cell_angle_alpha 90.00
_cell_angle_beta 90.00
_cell_angle_gamma 90.00
_space_group_name_H-M_alt 'P 1'
_space_group_IT_number 1
loop_
_space_group_symop_operation_xyz
'x,y,z'
loop_
_atom_site_label
_atom_site_type_symbol
_atom_site_fract_x
_atom_site_fract_y
_atom_site_fract_z
Au1 Au 0.5000 0.5000 0.5000
C1 C 0.0000 0.0000 0.0000
Cl1 Cl 0.0000 0.0000 0.5000
P1 P 0.5000 0.0000 0.0000
P2 P 0.0000 0.5000 0.0000
# Total moment = 0.00 μB per cell
# Space-group type = No. 123

---

Which of them is the most stable, and which is the least stable? b and a, in that order.

---

a | # Sc3AuC (SCAN, single point on PBEsol structure)
data_Sc3AuC
_chemical_formula_sum 'Sc6 Au2 C2'
_cell_length_a 6.2545
_cell_length_b 6.2545
_cell_length_c 6.2545
_cell_angle_alpha 91.15
_cell_angle_beta 119.17
_cell_angle_gamma 119.50
_space_group_name_H-M_alt 'P 1'
_space_group_IT_number 1
loop_
_space_group_symop_operation_xyz
'x,y,z'
loop_
_atom_site_label
_atom_site_type_symbol
_atom_site_fract_x
_atom_site_fract_y
_atom_site_fract_z
Au1 Au 0.9903 0.2403 0.2500
Sc1 Sc 0.4227 0.6727 0.2500
C1 C 0.5000 0.5000 0.0000
C2 C 0.5000 0.0000 0.5000
Sc2 Sc 0.0000 0.2096 0.7096
Sc3 Sc 0.5773 0.3273 0.7500
Au2 Au 0.0097 0.7597 0.7500
Sc4 Sc 0.5000 0.7904 0.7904
Sc5 Sc 0.5000 0.2096 0.2096
Sc6 Sc 0.0000 0.7904 0.2904
# Total moment = 0.00 μB per cell
# Space-group type = No. 74

---

b | # Sc3AuC (SCAN, single point on PBEsol structure)
data_Sc3AuC
_chemical_formula_sum 'Sc3 Au1 C1'
_cell_length_a 4.4395
_cell_length_b 4.4395
_cell_length_c 4.4395
_cell_angle_alpha 90.00
_cell_angle_beta 90.00
_cell_angle_gamma 90.00
_space_group_name_H-M_alt 'P 1'
_space_group_IT_number 1
loop_
_space_group_symop_operation_xyz
'x,y,z'
loop_
_atom_site_label
_atom_site_type_symbol
_atom_site_fract_x
_atom_site_fract_y
_atom_site_fract_z
C1 C 0.0000 0.0000 0.0000
Sc1 Sc 0.0000 0.0000 0.5000
Sc2 Sc 0.5000 0.0000 0.0000
Sc3 Sc 0.0000 0.5000 0.0000
Au1 Au 0.5000 0.5000 0.5000
# Total moment = 1.05 μB per cell
# Space-group type = No. 221

---

Which of them is the most stable, and which is the least stable? a and b, in that order.